No. 1
A relaxed Zr2MoI crystal, computed with PBE.

Calculated values
The symmetry is Fm-3m, No. 225. Its final energy is -6.952 eV/atom. The energy relative to the elements, uncorrected is 417 meV per atom. The value obtained for the energy above the most stable polymorph in this dataset is 0.0 meV/atom.

Cell and atoms, written as POSCAR:
```
Zr2MoI
1.0
0.000 3.484 3.484
3.484 0.000 3.484
3.484 3.484 0.000
Zr Mo I
2 1 1
direct
0.250 0.250 0.250
0.750 0.750 0.750
0.000 0.000 0.000
0.500 0.500 0.500
```



No. 2
A relaxed CrAsPSe2 crystal, computed with PBE.

Calculated values
The symmetry is P4/mmm, No. 123. Its final energy is -4.685 eV/atom. The energy relative to the elements, uncorrected is 645 meV per atom. The value obtained for the energy above the most stable polymorph in this dataset is 0.0 meV/atom.

Cell and atoms, written as POSCAR:
```
CrAsPSe2
1.0
4.581 0.000 0.000
0.000 4.581 0.000
0.000 0.000 4.822
Cr As P Se
1 1 1 2
direct
0.000 0.000 0.000
0.000 0.000 0.500
0.500 0.500 0.500
0.000 0.500 0.000
0.500 0.000 0.000
```